First-principles (PBE) data for Al6AgAu12 after structural relaxation, as listed in Alexandria via LeMat-Bulk.

Cell: 12.2544 12.2544 7.6729 Å, 90.00 90.00 120.00°
Space group R-3 (No. 148, hexagonal axes)
Asymmetric unit:
Al1 0.0211 0.2714 0.2993 (multiplicity 18)
Ag1 0.0000 0.0000 0.0000 (multiplicity 3)
Au1 0.0122 0.8672 0.3455 (multiplicity 18)
Au2 0.0607 0.5614 0.6776 (multiplicity 18)

Results
* energy relative to the elements: -241 meV per atom
* ΔE to the lowest computed polymorph: 0.0 kJ/mol of atoms
* DFT total energy: -207.66 eV per cell
* M_tot: 0.00 μB/f.u.

***

First-principles (PBE) data for Al2Ag12Au5 after structural relaxation, as listed in Alexandria via LeMat-Bulk.

Cell: 12.4462 8.0319 6.9460 Å, 90.00 91.05 90.00°
Space group C2/m (No. 12)
Asymmetric unit:
Al1 0.0000 0.1912 0.0000 (multiplicity 4)
Ag1 0.0559 0.0000 0.3198 (multiplicity 4)
Ag2 0.0929 0.5000 0.8887 (multiplicity 4)
Ag3 0.1193 0.2079 0.6491 (multiplicity 8)
Ag4 0.1550 0.3151 0.2319 (multiplicity 8)
Au1 0.0000 0.5000 0.5000 (multiplicity 2)
Au2 0.1784 0.0000 0.9799 (multiplicity 4)
Au3 0.2324 0.5000 0.5646 (multiplicity 4)

Results
* energy relative to the elements: -8 meV per atom
* DFT total energy: -116.47 eV per cell
* M_tot: 0.00 μB/f.u.

***

First-principles (PBE) data for Al6AgAu12 after structural relaxation, as listed in Alexandria via LeMat-Bulk.

Cell: 11.5987 11.5987 9.0569 Å, 90.00 90.00 120.00°
Space group R-3 (No. 148, hexagonal axes)
Asymmetric unit:
Al1 0.0359 0.8807 0.2095 (multiplicity 18)
Ag1 0.0000 0.0000 0.5000 (multiplicity 3)
Au1 0.0630 0.5983 0.1225 (multiplicity 18)
Au2 0.0731 0.5915 0.6102 (multiplicity 18)

Results
* energy relative to the elements: -202 meV per atom
* ΔE to the lowest computed polymorph: 3.8 kJ/mol of atoms
* DFT total energy: -205.44 eV per cell
* M_tot: 0.00 μB/f.u.

***

First-principles (PBE) data for AlAg2Au after structural relaxation, as listed in Alexandria via LeMat-Bulk.

Cell: 3.0020 3.0020 26.8898 Å, 90.00 90.00 120.00°
Space group R-3m (No. 166, hexagonal axes)
Asymmetric unit:
Al1 0.0000 0.0000 0.0000 (multiplicity 3)
Ag1 0.0000 0.0000 0.2548 (multiplicity 6)
Au1 0.0000 0.0000 0.5000 (multiplicity 3)

Results
* energy relative to the elements: -6 meV per atom
* DFT total energy: -38.24 eV per cell
* M_tot: 0.00 μB/f.u.

***

First-principles (PBE) data for Al2Ag3Au8 after structural relaxation, as listed in Alexandria via LeMat-Bulk.

Cell: 7.3675 4.4396 8.3117 Å, 90.00 115.89 90.00°
Space group P2/m (No. 10)
Asymmetric unit:
Al1 0.2361 0.0000 0.4587 (multiplicity 2)
Ag1 0.0000 0.0000 0.0000 (multiplicity 1)
Ag2 0.2968 0.5000 0.9966 (multiplicity 2)
Au1 0.1355 0.5000 0.2671 (multiplicity 2)
Au2 0.1531 0.0000 0.7449 (multiplicity 2)
Au3 0.3252 0.5000 0.6516 (multiplicity 2)
Au4 0.4107 0.0000 0.2457 (multiplicity 2)

Results
* energy relative to the elements: -135 meV per atom
* ΔE to the lowest computed polymorph: 0.0 kJ/mol of atoms
* DFT total energy: -44.01 eV per cell
* M_tot: 0.00 μB/f.u.

***

First-principles (PBE) data for AlAg2Au5 after structural relaxation, as listed in Alexandria via LeMat-Bulk.

Cell: 4.2798 17.3980 10.4685 Å, 90.00 90.00 90.00°
Space group Cmcm (No. 63)
Asymmetric unit:
Al1 0.0000 0.1513 0.2500 (multiplicity 4)
Ag1 0.0000 0.1266 0.5999 (multiplicity 8)
Au1 0.0000 0.0316 0.1189 (multiplicity 8)
Au2 0.0000 0.2563 0.0791 (multiplicity 8)
Au3 0.0000 0.2628 0.7500 (multiplicity 4)

Results
* energy relative to the elements: 108 meV per atom
* ΔE to the lowest computed polymorph: 24.0 kJ/mol of atoms
* DFT total energy: -99.87 eV per cell
* M_tot: 0.00 μB/f.u.

***

First-principles (PBE) data for Al2Ag3Au3 after structural relaxation, as listed in Alexandria via LeMat-Bulk.

Cell: 4.5402 4.6123 6.6047 Å, 90.00 90.00 90.00°
Space group Pmmm (No. 47)
Asymmetric unit:
Al1 0.0000 0.0000 0.2425 (multiplicity 2)
Ag1 0.0000 0.5000 0.5000 (multiplicity 1)
Ag2 0.5000 0.5000 0.2518 (multiplicity 2)
Au1 0.0000 0.5000 0.0000 (multiplicity 1)
Au2 0.5000 0.0000 0.0000 (multiplicity 1)
Au3 0.5000 0.0000 0.5000 (multiplicity 1)

Results
* energy relative to the elements: -156 meV per atom
* ΔE to the lowest computed polymorph: 5.3 kJ/mol of atoms
* DFT total energy: -27.12 eV per cell
* M_tot: 0.00 μB/f.u.

***

First-principles (PBE) data for AlAg3Au6 after structural relaxation, as listed in Alexandria via LeMat-Bulk.

Cell: 8.8409 10.1557 10.7855 Å, 90.00 90.00 90.00°
Space group Fmmm (No. 69)
Asymmetric unit:
Al1 0.0000 0.0000 0.0000 (multiplicity 4)
Ag1 0.0000 0.0000 0.5000 (multiplicity 4)
Ag2 0.2500 0.2500 0.2500 (multiplicity 8)
Au1 0.0000 0.2382 0.0000 (multiplicity 8)
Au2 0.2351 0.0000 0.1279 (multiplicity 16)

Results
* energy relative to the elements: 275 meV per atom
* ΔE to the lowest computed polymorph: 38.1 kJ/mol of atoms
* DFT total energy: -116.85 eV per cell
* M_tot: 0.00 μB/f.u.

***

First-principles (PBE) data for Al2AgAu6 after structural relaxation, as listed in Alexandria via LeMat-Bulk.

Cell: 12.3620 4.2188 8.0878 Å, 90.00 123.83 90.00°
Space group C2/m (No. 12)
Asymmetric unit:
Al1 0.1943 0.0000 0.3100 (multiplicity 4)
Ag1 0.0000 0.0000 0.5000 (multiplicity 2)
Au1 0.0709 0.0000 0.9095 (multiplicity 4)
Au2 0.0862 0.5000 0.3566 (multiplicity 4)
Au3 0.2357 0.5000 0.1610 (multiplicity 4)

Results
* energy relative to the elements: -139 meV per atom
* ΔE to the lowest computed polymorph: 0.8 kJ/mol of atoms
* DFT total energy: -62.51 eV per cell
* M_tot: 0.00 μB/f.u.

***

First-principles (PBE) data for AlAg2Au after structural relaxation, as listed in Alexandria via LeMat-Bulk.

Cell: 9.7638 3.0469 4.9014 Å, 90.00 108.40 90.00°
Space group Cm (No. 8)
Asymmetric unit:
Al1 0.0000 0.0000 0.0000 (multiplicity 2)
Ag1 0.0019 0.5000 0.4866 (multiplicity 2)
Ag2 0.2670 0.0000 0.7022 (multiplicity 2)
Au1 0.2318 0.5000 0.1744 (multiplicity 2)

Results
* energy relative to the elements: -134 meV per atom
* DFT total energy: -26.52 eV per cell
* M_tot: 0.00 μB/f.u.

***

First-principles (PBE) data for AlAg3Au6 after structural relaxation, as listed in Alexandria via LeMat-Bulk.

Cell: 9.0514 4.2302 9.2765 Å, 90.00 93.09 90.00°
Space group P2_1/m (No. 11)
Asymmetric unit:
Al1 0.0625 0.2500 0.3832 (multiplicity 2)
Ag1 0.2479 0.2500 0.9850 (multiplicity 2)
Ag2 0.3468 0.7500 0.7904 (multiplicity 2)
Ag3 0.4487 0.2500 0.5985 (multiplicity 2)
Au1 0.0478 0.7500 0.8880 (multiplicity 2)
Au2 0.1243 0.2500 0.6721 (multiplicity 2)
Au3 0.1555 0.7500 0.1872 (multiplicity 2)
Au4 0.2270 0.7500 0.4936 (multiplicity 2)
Au5 0.3469 0.2500 0.2999 (multiplicity 2)
Au6 0.4513 0.7500 0.0972 (multiplicity 2)

Results
* energy relative to the elements: -120 meV per atom
* ΔE to the lowest computed polymorph: 0.0 kJ/mol of atoms
* DFT total energy: -66.31 eV per cell
* M_tot: 0.00 μB/f.u.

***

First-principles (PBE) data for Al3Ag5Au after structural relaxation, as listed in Alexandria via LeMat-Bulk.

Cell: 12.4813 7.6076 8.1685 Å, 90.00 108.33 90.00°
Space group C2/m (No. 12)
Asymmetric unit:
Al1 0.0000 0.0000 0.0000 (multiplicity 2)
Al2 0.0000 0.0000 0.5000 (multiplicity 2)
Al3 0.1719 0.5000 0.1374 (multiplicity 4)
Al4 0.2459 0.5000 0.8473 (multiplicity 4)
Ag1 0.0000 0.3244 0.5000 (multiplicity 4)
Ag2 0.0311 0.5000 0.8293 (multiplicity 4)
Ag3 0.1160 0.1937 0.2755 (multiplicity 8)
Ag4 0.2075 0.5000 0.4822 (multiplicity 4)
Au1 0.1224 0.0000 0.8105 (multiplicity 4)

Results
* energy relative to the elements: 106 meV per atom
* DFT total energy: -111.23 eV per cell
* M_tot: 0.00 μB/f.u.